1 | Entry from the Alexandria database: a relaxed structure of B5C7 (PBE).

Properties
* calculated volume: 78.9 Å³ per cell

```
B5C7
1.0
6.121 -1.312 0.000
6.121 1.312 0.000
-1.036 0.000 4.912
B C
5 7
Cartesian
0.000 0.000 0.000
-0.469 0.000 2.277
2.036 0.000 4.188
2.570 0.000 1.704
10.168 0.000 3.290
3.293 0.000 3.155
3.915 0.000 0.715
7.084 0.000 0.092
6.587 0.000 2.567
7.135 0.000 3.964
7.666 0.000 1.497
10.845 0.000 0.885
```

2 | Entry from the Alexandria database: a relaxed structure of B5C7 (PBE).

Properties
* calculated volume: 78.9 Å³ per cell

```
B5C7
1.0
2.339 -3.943 0.000
2.339 3.943 0.000
-1.909 0.000 4.276
B C
5 7
Cartesian
0.000 0.000 0.000
1.437 2.639 2.086
0.483 1.294 4.263
0.483 -1.294 4.263
1.437 -2.639 2.086
-0.064 0.000 1.609
1.218 2.624 3.735
2.147 1.258 1.626
1.396 0.000 2.127
1.283 0.000 3.645
2.147 -1.258 1.626
1.218 -2.624 3.735
```

Which structure loses on stability? 2 does.